No. 1
! YReTeN2 (GGA-PBE, optimized geometry); values from VASP
! DOS(E_F) = 0.568 states/eV/atom
! energy relative to the lowest polymorph listed for this composition = 1508 meV per atom
! total DFT energy (no corrections) = -6.16 eV/atom
! energy relative to the elements, uncorrected = 1.5796 eV per atom
! SG = P4/mmm (123)
&SYSTEM
  ibrav = 0, nat = 5, ntyp = 4
/
ATOMIC_SPECIES
Y 88.91 Y.upf
Re 186.21 Re.upf
Te 127.60 Te.upf
N 14.01 N.upf
ATOMIC_POSITIONS angstrom
Y 0.0000 0.0000 0.0000
Re 2.1684 2.1684 3.2258
Te 0.0000 0.0000 3.2258
N 0.0000 2.1684 0.0000
N 2.1684 0.0000 0.0000
CELL_PARAMETERS angstrom
4.3368 0.0000 0.0000
0.0000 4.3368 0.0000
0.0000 0.0000 6.4515



No. 2
! Cd2AgGeS4 (GGA-PBE, optimized geometry); values from VASP
! DOS(E_F) = 0.406 states/eV/atom
! total DFT energy (no corrections) = -3.58 eV/atom
! energy relative to the elements, uncorrected = -0.3581 eV per atom
! SG = I-42m (121)
&SYSTEM
  ibrav = 0, nat = 8, ntyp = 4
/
ATOMIC_SPECIES
Cd 112.41 Cd.upf
Ag 107.87 Ag.upf
Ge 72.64 Ge.upf
S 32.06 S.upf
ATOMIC_POSITIONS angstrom
Cd -4.0784 0.3236 0.4780
Cd -1.6304 -0.6464 3.7270
Ag -0.0004 0.0004 0.0004
Ge -2.3252 -3.3932 0.7388
S -3.6912 0.7191 2.9958
S -1.9559 -3.1296 3.1147
S -4.2983 -2.2014 0.0059
S -1.4694 3.9638 2.2905
CELL_PARAMETERS angstrom
-4.7721 -2.4241 -2.5112
0.1238 -4.3641 3.9868
-1.0594 6.4644 2.7282



No. 3
! GdThRe4 (GGA-PBE, optimized geometry); values from VASP
! DOS(E_F) = 1.891 states/eV/atom
! DFT formation energy = -0.051 eV/atom
! total DFT energy (no corrections) = -11.93 eV/atom
! SG = F-43m (216)
&SYSTEM
  ibrav = 0, nat = 6, ntyp = 3
/
ATOMIC_SPECIES
Re 186.21 Re.upf
Gd 157.25 Gd.upf
Th 232.04 Th.upf
ATOMIC_POSITIONS angstrom
Re 5.4971 3.1738 0.5592
Re 5.4971 1.5851 2.8059
Re 6.8729 3.9681 2.8059
Re 4.1213 3.9681 2.8059
Gd 0.0000 0.0000 0.0000
Th 2.7486 1.5869 1.1221
CELL_PARAMETERS angstrom
5.4971 0.0000 0.0000
2.7486 4.7607 0.0000
2.7486 1.5869 4.4884



No. 4
! In3FeNi (GGA-PBE, optimized geometry); values from VASP
! DOS(E_F) = 0.803 states/eV/atom
! energy relative to the lowest polymorph listed for this composition = 0 meV per atom
! DFT formation energy = 0.515 eV/atom
! total DFT energy (no corrections) = -3.98 eV/atom
! SG = Pm-3m (221)
&SYSTEM
  ibrav = 0, nat = 5, ntyp = 3
/
ATOMIC_SPECIES
Ni 58.69 Ni.upf
Fe 55.84 Fe.upf
In 114.82 In.upf
ATOMIC_POSITIONS angstrom
Ni 0.0000 0.0000 0.0000
Fe 2.4472 2.4472 2.4472
In 0.0000 2.4472 0.0000
In 0.0000 0.0000 2.4472
In 2.4472 0.0000 0.0000
CELL_PARAMETERS angstrom
4.8943 0.0000 0.0000
0.0000 4.8943 0.0000
0.0000 0.0000 4.8943



No. 5
! BaTaCu (GGA-PBE, optimized geometry); values from VASP
! DOS(E_F) = 0.892 states/eV/atom
! energy relative to the lowest polymorph listed for this composition = 324 meV per atom
! DFT formation energy = 0.634 eV/atom
! total DFT energy (no corrections) = -5.32 eV/atom
! SG = Pnma (62)
&SYSTEM
  ibrav = 0, nat = 12, ntyp = 3
/
ATOMIC_SPECIES
Ba 137.33 Ba.upf
Cu 63.55 Cu.upf
Ta 180.95 Ta.upf
ATOMIC_POSITIONS angstrom
Ba 8.6772 0.8763 3.8419
Ba 7.3280 2.6288 8.3537
Ba 1.9929 2.6288 5.1816
Ba 3.3422 0.8763 0.6698
Cu 9.8241 0.8763 6.9032
Cu 6.1812 2.6288 2.3914
Cu 0.8461 2.6288 2.1204
Cu 4.4890 0.8763 6.6322
Ta 4.8125 0.8763 3.6837
Ta 0.5226 2.6288 8.1955
Ta 5.8577 2.6288 5.3398
Ta 10.1476 0.8763 0.8281
CELL_PARAMETERS angstrom
10.6702 0.0000 0.0000
0.0000 3.5050 0.0000
0.0000 0.0000 9.0236



No. 6
! Th4Sb2AsSe (GGA-PBE, optimized geometry); values from VASP
! DOS(E_F) = 0.738 states/eV/atom
! total DFT energy (no corrections) = -6.95 eV/atom
! energy relative to the elements, uncorrected = -1.1878 eV per atom
! SG = P2/m (10)
&SYSTEM
  ibrav = 0, nat = 8, ntyp = 4
/
ATOMIC_SPECIES
Th 232.04 Th.upf
Sb 121.76 Sb.upf
As 74.92 As.upf
Se 78.96 Se.upf
ATOMIC_POSITIONS angstrom
Th 0.0001 7.5166 5.2379
Th 4.3634 2.7177 1.6900
Th 2.1817 6.1889 1.7274
Th 2.1817 4.0453 5.2005
Sb 0.0000 2.6594 7.0844
Sb 2.1817 1.3297 3.5422
As 0.0000 5.1171 3.4640
Se 2.1817 3.7874 -0.0782
CELL_PARAMETERS angstrom
4.3634 0.0000 0.0000
0.0000 7.5748 -0.1565
0.0000 2.6594 7.0844



No. 7
! ZrH2Pb (GGA-PBE, optimized geometry); values from VASP
! DOS(E_F) = 0.007 states/eV/atom
! energy relative to the lowest polymorph listed for this composition = 0 meV per atom
! total DFT energy (no corrections) = -4.85 eV/atom
! SG = I-42d (122)
&SYSTEM
  ibrav = 0, nat = 8, ntyp = 3
/
ATOMIC_SPECIES
Pb 207.20 Pb.upf
H 1.01 H.upf
Zr 91.22 Zr.upf
ATOMIC_POSITIONS angstrom
Pb 0.0000 0.0000 0.0000
Pb 0.2857 1.5035 5.5884
H 0.0283 0.6968 3.0115
H 2.1862 0.3029 3.4667
H 2.6611 2.7760 5.8983
H 2.1121 2.1835 7.9879
Zr 0.9350 -0.9802 2.7742
Zr 3.2081 1.4761 4.5937
CELL_PARAMETERS angstrom
-1.9874 -0.9527 3.7689
3.8575 -1.0077 1.7794
1.6237 4.9400 4.6338



No. 8
! Li3TaSe (GGA-PBE, optimized geometry); values from VASP
! DOS(E_F) = 0.773 states/eV/atom
! energy relative to the lowest polymorph listed for this composition = 667 meV per atom
! total DFT energy (no corrections) = -2.98 eV/atom
! energy relative to the elements, uncorrected = 1.2309 eV per atom
! SG = Pm-3m (221)
&SYSTEM
  ibrav = 0, nat = 5, ntyp = 3
/
ATOMIC_SPECIES
Li 6.94 Li.upf
Se 78.96 Se.upf
Ta 180.95 Ta.upf
ATOMIC_POSITIONS angstrom
Li -1.0507 -0.3862 2.3003
Li -1.4777 2.0622 -0.3287
Li -1.8047 -1.4637 -1.0700
Se -4.3330 0.2123 0.9015
Ta 0.0000 0.0000 0.0000
CELL_PARAMETERS angstrom
-3.6094 -2.9274 -2.1401
-2.1013 -0.7724 4.6006
-2.9553 4.1244 -0.6574



No. 9
! K2TcIr (GGA-PBE, optimized geometry); values from VASP
! DOS(E_F) = 1.117 states/eV/atom
! energy relative to the lowest polymorph listed for this composition = 576 meV per atom
! DFT formation energy = 1.106 eV/atom
! total DFT energy (no corrections) = -4.25 eV/atom
! SG = I-42d (122)
&SYSTEM
  ibrav = 0, nat = 8, ntyp = 3
/
ATOMIC_SPECIES
K 39.10 K.upf
Ir 192.22 Ir.upf
Tc 98.00 Tc.upf
ATOMIC_POSITIONS angstrom
K 11.4966 3.0905 0.5887
K 13.2276 9.2716 0.5887
K 9.2716 7.0466 1.7661
K 15.4527 5.3156 1.7661
Ir 0.0000 0.0000 0.0000
Ir 12.3621 6.1811 1.1774
Tc 6.1811 6.1811 0.0000
Tc 6.1811 12.3621 1.1774
CELL_PARAMETERS angstrom
12.3621 0.0000 0.0000
0.0000 12.3621 0.0000
6.1811 6.1811 2.3548



No. 10
! LaInRe (GGA-PBE, optimized geometry); values from VASP
! DOS(E_F) = 1.784 states/eV/atom
! energy relative to the lowest polymorph listed for this composition = 116 meV per atom
! DFT formation energy = 0.456 eV/atom
! total DFT energy (no corrections) = -6.25 eV/atom
! SG = P3m1 (156)
&SYSTEM
  ibrav = 0, nat = 3, ntyp = 3
/
ATOMIC_SPECIES
In 114.82 In.upf
La 138.91 La.upf
Re 186.21 Re.upf
ATOMIC_POSITIONS angstrom
In 1.2233 -0.4284 2.0982
La 1.7115 -2.5948 -0.3678
Re -0.1299 -3.0601 2.3569
CELL_PARAMETERS angstrom
-3.9344 -2.8380 1.7144
3.8003 -2.2162 -2.6681
1.4694 -0.5146 2.5205



No. 11
! ZrTcMo (GGA-PBE, optimized geometry); values from VASP
! DOS(E_F) = 0.727 states/eV/atom
! energy relative to the lowest polymorph listed for this composition = 260 meV per atom
! DFT formation energy = 0.028 eV/atom
! total DFT energy (no corrections) = -9.89 eV/atom
! SG = Fmm2 (42)
&SYSTEM
  ibrav = 0, nat = 3, ntyp = 3
/
ATOMIC_SPECIES
Mo 95.94 Mo.upf
Tc 98.00 Tc.upf
Zr 91.22 Zr.upf
ATOMIC_POSITIONS angstrom
Mo -5.6988 -7.8500 -9.6361
Tc -2.8197 -1.4110 -4.3835
Zr -4.2825 -4.6825 -7.0522
CELL_PARAMETERS angstrom
-2.0063 -3.5032 -5.9011
-3.7331 -4.4377 -3.8091
-1.3221 1.9383 -1.6514



No. 12
! GdTlIn (GGA-PBE, optimized geometry); values from VASP
! DOS(E_F) = 0.857 states/eV/atom
! energy relative to the lowest polymorph listed for this composition = 0 meV per atom
! DFT formation energy = -0.314 eV/atom
! total DFT energy (no corrections) = -6.71 eV/atom
! SG = P3m1 (156)
&SYSTEM
  ibrav = 0, nat = 3, ntyp = 3
/
ATOMIC_SPECIES
Tl 204.38 Tl.upf
Gd 157.25 Gd.upf
In 114.82 In.upf
ATOMIC_POSITIONS angstrom
Tl -0.0930 0.1541 0.0694
Gd -3.0910 0.2751 2.2812
In 0.0773 -0.0889 3.0675
CELL_PARAMETERS angstrom
-1.7917 2.9706 1.3374
-4.3004 -2.6086 0.0328
2.9855 -0.0217 4.0479